[1]
PuMg5Ga6 GGA-PBE optimized geometry; crystal system = monoclinic; SG = P2/m; magnetic moment = 5.79 Bohr magnetons per cell; ΔE_f = -0.18 eV/atom
1.0
-0.113 -2.704 -3.902
6.804 1.031 -0.912
1.369 -7.091 2.202
Ga Mg Pu
6 5 1
direct
0.500 0.273 0.000 Ga
0.500 0.727 0.000 Ga
0.849 0.259 0.335 Ga
0.151 0.259 0.665 Ga
0.849 0.741 0.335 Ga
0.151 0.741 0.665 Ga
0.654 0.000 0.667 Mg
0.346 0.000 0.333 Mg
0.000 0.500 0.000 Mg
0.656 0.500 0.658 Mg
0.344 0.500 0.342 Mg
0.000 0.000 0.000 Pu

***

[2]
Pu3Mg2Ga3 GGA-PBE optimized geometry; crystal system = orthorhombic; SG = Immm; magnetic moment = 16.79 Bohr magnetons per cell; ΔE_f = -0.17 eV/atom
1.0
4.289 0.000 -0.900
-0.210 4.386 -0.999
-0.266 -0.183 9.402
Ga Mg Pu
3 2 3
direct
0.139 0.139 0.278 Ga
0.000 0.500 0.000 Ga
0.861 0.861 0.722 Ga
0.252 0.752 0.505 Mg
0.748 0.248 0.495 Mg
0.500 0.000 0.000 Pu
0.386 0.386 0.771 Pu
0.614 0.614 0.229 Pu

***

[3]
PuMgGa2 GGA-PBE optimized geometry; crystal system = trigonal; SG = R-3m; magnetic moment = 5.29 Bohr magnetons per cell; ΔE_f = -0.10 eV/atom
1.0
3.102 0.000 0.000
1.551 2.687 0.000
1.551 0.896 9.872
Ga Mg Pu
2 1 1
direct
0.746 0.746 0.763 Ga
0.254 0.254 0.237 Ga
0.000 0.000 0.000 Mg
0.500 0.500 0.500 Pu

***

[4]
PuMg2Ga GGA-PBE optimized geometry; crystal system = tetragonal; excess energy over the best structure of this formula in the dataset = 0.018 eV per formula unit; SG = P4/mmm; magnetic moment = 5.94 Bohr magnetons per cell; ΔE_f = -0.02 eV/atom
1.0
4.855 0.000 0.000
0.000 4.363 0.000
0.000 0.000 4.363
Ga Mg Pu
1 2 1
direct
0.500 0.500 0.500 Ga
0.000 0.000 0.500 Mg
0.000 0.500 0.000 Mg
0.500 0.000 0.000 Pu

***

[5]
PuMg3Ga3 GGA-PBE optimized geometry; crystal system = cubic; SG = Pm-3n; magnetic moment = 12.25 Bohr magnetons per cell; ΔE_f = 0.42 eV/atom
1.0
7.341 0.000 0.000
0.000 7.341 0.000
0.000 0.000 7.341
Ga Mg Pu
6 6 2
direct
0.000 0.500 0.250 Ga
0.250 0.000 0.500 Ga
0.500 0.250 0.000 Ga
0.500 0.750 0.000 Ga
0.750 0.000 0.500 Ga
0.000 0.500 0.750 Ga
0.500 0.000 0.750 Mg
0.500 0.000 0.250 Mg
0.750 0.500 0.000 Mg
0.000 0.750 0.500 Mg
0.000 0.250 0.500 Mg
0.250 0.500 0.000 Mg
0.000 0.000 0.000 Pu
0.500 0.500 0.500 Pu

***

[6]
PuMgGa GGA-PBE optimized geometry; crystal system = monoclinic; SG = C2/m; magnetic moment = 11.37 Bohr magnetons per cell; ΔE_f = -0.08 eV/atom
1.0
-0.272 -4.886 0.587
1.681 2.793 3.337
-5.813 0.736 3.427
Pu Mg Ga
2 2 2
direct
0.675 0.349 0.580 Pu
0.325 0.651 0.420 Pu
0.323 0.646 0.902 Mg
0.677 0.354 0.098 Mg
0.993 0.985 0.767 Ga
0.007 0.015 0.233 Ga

***

[7]
PuMg2Ga GGA-PBE optimized geometry; crystal system = tetragonal; excess energy over the best structure of this formula in the dataset = 0.000 eV per formula unit; SG = P4/mmm; magnetic moment = 5.92 Bohr magnetons per cell; ΔE_f = -0.03 eV/atom
1.0
3.076 0.000 0.000
0.000 3.076 0.000
0.000 0.000 9.270
Ga Mg Pu
1 2 1
direct
0.500 0.500 0.000 Ga
0.000 0.000 0.781 Mg
0.000 0.000 0.219 Mg
0.500 0.500 0.500 Pu

***

[8]
PuMg4Ga15 GGA-PBE optimized geometry; crystal system = tetragonal; SG = P4/mmm; magnetic moment = 5.43 Bohr magnetons per cell; ΔE_f = -0.14 eV/atom
1.0
4.267 0.000 0.000
0.000 4.267 0.000
0.000 0.000 20.603
Ga Mg Pu
15 4 1
direct
0.500 0.000 0.896 Ga
0.000 0.500 0.300 Ga
0.500 0.000 0.104 Ga
0.500 0.500 0.795 Ga
0.500 0.000 0.300 Ga
0.000 0.500 0.896 Ga
0.500 0.000 0.500 Ga
0.500 0.000 0.700 Ga
0.500 0.500 0.598 Ga
0.500 0.500 0.402 Ga
0.000 0.500 0.500 Ga
0.000 0.500 0.700 Ga
0.500 0.500 0.205 Ga
0.000 0.500 0.104 Ga
0.500 0.500 0.000 Ga
0.000 0.000 0.200 Mg
0.000 0.000 0.399 Mg
0.000 0.000 0.800 Mg
0.000 0.000 0.601 Mg
0.000 0.000 0.000 Pu

***

[9]
PuMg3Ga2 GGA-PBE optimized geometry; crystal system = orthorhombic; SG = Immm; magnetic moment = 11.14 Bohr magnetons per cell; ΔE_f = -0.16 eV/atom
1.0
4.341 0.000 1.195
1.194 7.278 4.144
0.006 -0.001 8.460
Pu Mg Ga
2 6 4
direct
0.122 0.878 0.878 Pu
0.878 0.122 0.122 Pu
0.329 0.477 0.865 Mg
0.329 0.865 0.477 Mg
0.671 0.135 0.523 Mg
0.000 0.335 0.665 Mg
0.000 0.665 0.335 Mg
0.671 0.523 0.135 Mg
0.790 0.710 0.710 Ga
0.500 0.850 0.150 Ga
0.500 0.150 0.850 Ga
0.210 0.290 0.290 Ga

***

[10]
PuMg2Ga6 GGA-PBE optimized geometry; crystal system = hexagonal; SG = P6/mmm; magnetic moment = 5.47 Bohr magnetons per cell; ΔE_f = -0.22 eV/atom
1.0
3.108 0.000 0.000
0.000 6.929 -4.000
0.000 0.000 8.001
Ga Mg Pu
6 2 1
direct
0.500 0.339 0.000 Ga
0.500 0.661 0.000 Ga
0.500 0.661 0.661 Ga
0.500 0.339 0.339 Ga
0.500 0.000 0.661 Ga
0.500 0.000 0.339 Ga
0.000 0.333 0.667 Mg
0.000 0.667 0.333 Mg
0.000 0.000 0.000 Pu

***

[11]
PuMgGa GGA-PBE optimized geometry; crystal system = cubic; SG = F-43m; magnetic moment = 5.27 Bohr magnetons per cell; ΔE_f = 0.03 eV/atom
1.0
4.784 0.000 0.000
2.392 4.143 0.000
2.392 1.381 3.906
Pu Mg Ga
1 1 1
direct
0.500 0.500 0.500 Pu
0.000 0.000 0.000 Mg
0.250 0.250 0.250 Ga

***

[12]
PuMg2Ga GGA-PBE optimized geometry; crystal system = trigonal; excess energy over the best structure of this formula in the dataset = 0.735 eV per formula unit; SG = R-3m; magnetic moment = 6.02 Bohr magnetons per cell; ΔE_f = 0.16 eV/atom
1.0
3.132 0.000 0.000
1.566 2.712 0.000
1.566 0.904 11.001
Ga Mg Pu
1 2 1
direct
0.500 0.500 0.500 Ga
0.903 0.903 0.292 Mg
0.097 0.097 0.708 Mg
0.000 0.000 0.000 Pu

***

[13]
PuMgGa GGA-PBE optimized geometry; crystal system = tetragonal; SG = I4mm; magnetic moment = 5.61 Bohr magnetons per cell; ΔE_f = -0.13 eV/atom
1.0
-1.332 -2.804 -0.383
0.786 -0.774 2.927
-5.560 4.257 0.947
Pu Ga Mg
1 1 1
direct
0.011 0.011 0.021 Pu
0.672 0.672 0.344 Ga
0.317 0.317 0.635 Mg

***

[14]
PuMgGa GGA-PBE optimized geometry; crystal system = hexagonal; SG = P-6m2; magnetic moment = 5.82 Bohr magnetons per cell; ΔE_f = -0.17 eV/atom
1.0
-2.635 -1.385 -0.946
0.098 -2.900 3.975
-2.335 4.329 0.169
Pu Mg Ga
1 1 1
direct
0.667 0.333 0.667 Pu
0.167 0.667 0.333 Mg
0.166 0.000 0.000 Ga

***

[15]
PuMg2GaRh2 GGA-PBE optimized geometry; crystal system = orthorhombic; SG = Pmc2_1; magnetic moment = 9.98 Bohr magnetons per cell; ΔE_f = -0.52 eV/atom
1.0
-2.182 -2.608 -1.951
-2.172 -2.666 5.993
-6.356 5.283 0.047
Pu Rh Mg Ga
2 4 4 2
direct
0.000 0.973 0.421 Pu
0.000 0.473 0.579 Pu
0.000 0.753 0.128 Rh
0.500 0.763 0.603 Rh
0.000 0.253 0.872 Rh
0.500 0.263 0.397 Rh
0.000 0.869 0.821 Mg
0.500 0.049 0.073 Mg
0.500 0.549 0.927 Mg
0.000 0.369 0.179 Mg
0.500 0.139 0.701 Ga
0.500 0.639 0.299 Ga

***

[16]
Pu2MgGaRh2 GGA-PBE optimized geometry; crystal system = orthorhombic; SG = Ibam; magnetic moment = 21.36 Bohr magnetons per cell; ΔE_f = -0.43 eV/atom
1.0
5.779 0.000 0.000
0.000 5.618 0.000
-2.889 -2.809 7.392
Pu Mg Rh Ga
4 2 4 2
direct
0.676 0.931 0.351 Pu
0.824 0.579 0.649 Pu
0.176 0.421 0.351 Pu
0.324 0.069 0.649 Pu
0.750 0.000 0.000 Mg
0.250 0.000 0.000 Mg
0.875 0.136 0.751 Rh
0.625 0.385 0.249 Rh
0.375 0.615 0.751 Rh
0.125 0.864 0.249 Rh
0.250 0.500 0.000 Ga
0.750 0.500 0.000 Ga

***

[17]
Pu2MgGaRu2 GGA-PBE optimized geometry; crystal system = orthorhombic; SG = Ibam; magnetic moment = 19.31 Bohr magnetons per cell; ΔE_f = -0.19 eV/atom
1.0
-4.538 -3.269 1.305
2.246 -4.195 -2.699
4.497 1.549 6.878
Pu Ru Mg Ga
4 4 2 2
direct
0.674 0.932 0.348 Pu
0.326 0.068 0.652 Pu
0.174 0.416 0.348 Pu
0.826 0.584 0.652 Pu
0.631 0.395 0.263 Ru
0.131 0.868 0.263 Ru
0.369 0.605 0.737 Ru
0.869 0.132 0.737 Ru
0.750 0.000 0.000 Mg
0.250 0.000 0.000 Mg
0.250 0.500 0.000 Ga
0.750 0.500 0.000 Ga

***

[18]
PuMgGaRu2 GGA-PBE optimized geometry; crystal system = monoclinic; SG = C2/m; magnetic moment = 7.51 Bohr magnetons per cell; ΔE_f = -0.19 eV/atom
1.0
4.072 0.000 0.000
-2.036 5.119 1.630
0.000 0.564 8.988
Ga Ru Mg Pu
2 4 2 2
direct
0.978 0.957 0.360 Ga
0.022 0.043 0.640 Ga
0.105 0.209 0.871 Ru
0.624 0.248 0.409 Ru
0.376 0.752 0.591 Ru
0.895 0.791 0.129 Ru
0.378 0.756 0.905 Mg
0.622 0.244 0.095 Mg
0.719 0.438 0.696 Pu
0.281 0.562 0.304 Pu

***

[19]
PuMgGaRu GGA-PBE optimized geometry; crystal system = cubic; SG = F-43m; magnetic moment = 4.74 Bohr magnetons per cell; ΔE_f = -0.07 eV/atom
1.0
4.742 0.000 0.000
2.371 4.107 0.000
2.371 1.369 3.872
Pu Ru Ga Mg
1 1 1 1
direct
0.250 0.250 0.250 Pu
0.000 0.000 0.000 Ru
0.500 0.500 0.500 Ga
0.750 0.750 0.750 Mg

***

[20]
PuMgGaSb GGA-PBE optimized geometry; crystal system = cubic; SG = F-43m; uncorrected formation energy = -107 kJ/mol of formula units; magnetic moment = 5.53 Bohr magnetons per cell
1.0
5.096 0.000 0.000
2.548 4.414 0.000
2.548 1.471 4.161
Ga Mg Pu Sb
1 1 1 1
direct
0.250 0.250 0.250 Ga
0.000 0.000 0.000 Mg
0.500 0.500 0.500 Pu
0.750 0.750 0.750 Sb

***

[21]
PuMgScGa GGA-PBE optimized geometry; crystal system = cubic; SG = F-43m; magnetic moment = 6.12 Bohr magnetons per cell; ΔE_f = -0.16 eV/atom
1.0
5.030 0.000 0.000
2.515 4.356 0.000
2.515 1.452 4.107
Sc Ga Mg Pu
1 1 1 1
direct
0.250 0.250 0.250 Sc
0.000 0.000 0.000 Ga
0.500 0.500 0.500 Mg
0.750 0.750 0.750 Pu

***

[22]
PuMgGaSn GGA-PBE optimized geometry; crystal system = orthorhombic; excess energy over the best structure of this formula in the dataset = 0.000 eV per formula unit; SG = Pmmm; magnetic moment = 5.52 Bohr magnetons per cell; ΔE_f = -0.30 eV/atom
1.0
4.320 0.000 0.000
0.000 4.573 0.000
0.000 0.000 4.630
Mg Pu Ga Sn
1 1 1 1
direct
0.500 0.500 0.000 Mg
0.500 0.000 0.500 Pu
0.000 0.500 0.500 Ga
0.000 0.000 0.000 Sn

***

[23]
PuMgGaSn GGA-PBE optimized geometry; crystal system = cubic; excess energy over the best structure of this formula in the dataset = 0.263 eV per formula unit; SG = F-43m; magnetic moment = 5.51 Bohr magnetons per cell; ΔE_f = -0.23 eV/atom
1.0
5.086 0.000 0.000
2.543 4.405 0.000
2.543 1.468 4.153
Pu Sn Ga Mg
1 1 1 1
direct
0.750 0.750 0.750 Pu
0.500 0.500 0.500 Sn
0.000 0.000 0.000 Ga
0.250 0.250 0.250 Mg

***

[24]
PuMgTlGa GGA-PBE optimized geometry; crystal system = cubic; SG = F-43m; magnetic moment = 5.72 Bohr magnetons per cell; ΔE_f = -0.14 eV/atom
1.0
-1.733 0.483 4.792
-4.067 -2.701 1.535
0.588 -3.840 3.333
Mg Tl Pu Ga
1 1 1 1
direct
0.500 0.500 0.500 Mg
0.750 0.750 0.750 Tl
0.000 0.000 0.000 Pu
0.250 0.250 0.250 Ga

***

[25]
TmPuMgGa GGA-PBE optimized geometry; crystal system = cubic; SG = F-43m; magnetic moment = 6.12 Bohr magnetons per cell; ΔE_f = -0.16 eV/atom
1.0
-1.354 2.179 4.460
-4.338 -1.447 2.358
0.227 -2.716 4.364
Ga Mg Pu Tm
1 1 1 1
direct
0.250 0.250 0.250 Ga
0.750 0.750 0.750 Mg
0.000 0.000 0.000 Pu
0.500 0.500 0.500 Tm